1.
This record from the Alexandria database describes Pm2Pr2NdDy2 after structural relaxation. The functional is PBE.

Cell lengths 11.782, 3.531, 12.005 Å; angles 90.00, 101.44, 90.00 degrees
Element x y z (fractional)
Pm1 0.205 0.000 0.369
Pm2 0.295 0.500 0.631
Pm3 0.705 0.500 0.369
Pm4 0.795 0.000 0.631
Pr1 0.154 0.000 0.072
Pr2 0.346 0.500 0.928
Pr3 0.654 0.500 0.072
Pr4 0.846 0.000 0.928
Nd1 0.000 0.500 0.500
Nd2 0.500 0.000 0.500
Dy1 0.090 0.000 0.774
Dy2 0.410 0.500 0.226
Dy3 0.590 0.500 0.774
Dy4 0.910 0.000 0.226

Mass density, Mg/m³: 7.06
Total magnetic moment, μB/cell: 0.00
Formation energy, meV/atom: 142

2.
This record from the Alexandria database describes In2ReSi after structural relaxation. The functional is PBE.

Cell lengths 3.172, 3.172, 27.053 Å; angles 90.00, 90.00, 120.00 degrees
Element x y z (fractional)
In1 0.000 0.000 0.000
In2 0.000 0.000 0.231
In3 0.333 0.667 0.667
In4 0.333 0.667 0.898
In5 0.667 0.333 0.333
In6 0.667 0.333 0.565
Re1 0.000 0.000 0.482
Re2 0.333 0.667 0.149
Re3 0.667 0.333 0.815
Si1 0.000 0.000 0.757
Si2 0.333 0.667 0.423
Si3 0.667 0.333 0.090

Formation energy (no corrections), meV per atom: 297.5
Mass density, Mg/m³: 9.38
Total magnetic moment, μB/cell: 0.00

3.
This record from the Alexandria database describes ZrAlCdPt after structural relaxation. The functional is PBE.

Cell lengths 6.638, 6.638, 6.638 Å; angles 90.00, 90.00, 90.00 degrees
Element x y z (fractional)
Zr1 0.000 0.000 0.000
Zr2 0.000 0.500 0.500
Zr3 0.500 0.000 0.500
Zr4 0.500 0.500 0.000
Al1 0.000 0.000 0.500
Al2 0.000 0.500 0.000
Al3 0.500 0.000 0.000
Al4 0.500 0.500 0.500
Cd1 0.250 0.250 0.750
Cd2 0.250 0.750 0.250
Cd3 0.750 0.250 0.250
Cd4 0.750 0.750 0.750
Pt1 0.250 0.250 0.250
Pt2 0.250 0.750 0.750
Pt3 0.750 0.250 0.750
Pt4 0.750 0.750 0.250

Mass density, Mg/m³: 9.67
Total magnetic moment, μB/cell: 0.00
Formation energy, meV/atom: -511

4.
This record from the Alexandria database describes CePm2DyTm4 after structural relaxation. The functional is PBE.

Cell lengths 6.133, 3.540, 11.660 Å; angles 90.00, 100.16, 90.00 degrees
Element x y z (fractional)
Ce1 0.000 0.000 0.000
Pm1 0.500 0.000 0.500
Pm2 0.500 0.500 0.000
Dy1 0.000 0.500 0.500
Tm1 0.246 0.500 0.248
Tm2 0.247 0.000 0.750
Tm3 0.753 0.000 0.250
Tm4 0.754 0.500 0.752

Mass density, Mg/m³: 8.45
Total magnetic moment, μB/cell: 0.82
Formation energy, meV/atom: 42

5.
This record from the Alexandria database describes KHf2Cr after structural relaxation. The functional is PBE.

Cell lengths 7.412, 7.412, 10.519 Å; angles 90.00, 90.00, 90.00 degrees
Element x y z (fractional)
K1 0.000 0.250 0.375
K2 0.000 0.750 0.625
K3 0.500 0.250 0.125
K4 0.500 0.750 0.875
Hf1 0.000 0.000 0.000
Hf2 0.000 0.500 0.000
Hf3 0.250 0.250 0.750
Hf4 0.250 0.750 0.250
Hf5 0.500 0.000 0.500
Hf6 0.500 0.500 0.500
Hf7 0.750 0.250 0.750
Hf8 0.750 0.750 0.250
Cr1 0.000 0.250 0.875
Cr2 0.000 0.750 0.125
Cr3 0.500 0.250 0.625
Cr4 0.500 0.750 0.375

Mass density, Mg/m³: 5.15
Offset from the most stable computed form, meV per atom: 114
Total magnetic moment, μB/cell: 0.00
Formation energy, meV/atom: 1295

6.
This record from the Alexandria database describes In2HgBr after structural relaxation. The functional is PBE.

Cell lengths 3.811, 5.869, 10.441 Å; angles 90.00, 90.00, 90.00 degrees
Element x y z (fractional)
In1 0.000 0.000 0.247
In2 0.000 0.000 0.753
In3 0.500 0.500 0.253
In4 0.500 0.500 0.747
Hg1 0.000 0.500 0.000
Hg2 0.500 0.000 0.500
Br1 0.000 0.500 0.500
Br2 0.500 0.000 0.000

Formation energy (no corrections), meV per atom: -210.0
Mass density, Mg/m³: 7.26
Offset from the most stable computed form, meV per atom: 59
Total magnetic moment, μB/cell: 0.00

7.
This record from the Alexandria database describes La4TcRhCl2 after structural relaxation. The functional is PBE.

Cell lengths 7.201, 4.167, 7.995 Å; angles 90.00, 107.27, 90.00 degrees
Element x y z (fractional)
La1 0.231 0.000 0.209
La2 0.255 0.500 0.797
La3 0.745 0.500 0.203
La4 0.769 0.000 0.791
Tc1 0.000 0.500 0.000
Rh1 0.500 0.000 0.000
Cl1 0.000 0.000 0.500
Cl2 0.500 0.500 0.500

Formation energy (no corrections), meV per atom: -990.2
Mass density, Mg/m³: 6.00
Total magnetic moment, μB/cell: 0.00

8.
This record from the Alexandria database describes Ca2Hg after structural relaxation. The functional is PBE.

Cell lengths 7.712, 5.034, 9.813 Å; angles 90.00, 90.00, 90.00 degrees
Element x y z (fractional)
Ca1 0.028 0.250 0.179
Ca2 0.152 0.250 0.567
Ca3 0.348 0.750 0.067
Ca4 0.472 0.750 0.679
Ca5 0.528 0.250 0.321
Ca6 0.652 0.250 0.933
Ca7 0.848 0.750 0.433
Ca8 0.972 0.750 0.821
Hg1 0.244 0.250 0.881
Hg2 0.256 0.750 0.381
Hg3 0.744 0.250 0.619
Hg4 0.756 0.750 0.119

Mass density, Mg/m³: 4.89
Total magnetic moment, μB/cell: 0.00
Formation energy, meV/atom: -407

9.
This record from the Alexandria database describes AsRu after structural relaxation. The functional is PBE.

Cell lengths 5.759, 3.353, 6.421 Å; angles 90.00, 90.00, 90.00 degrees
Element x y z (fractional)
As1 0.196 0.250 0.068
As2 0.304 0.750 0.568
As3 0.696 0.250 0.432
As4 0.804 0.750 0.932
Ru1 0.001 0.250 0.704
Ru2 0.499 0.750 0.204
Ru3 0.501 0.250 0.796
Ru4 0.999 0.750 0.296

Mass density, Mg/m³: 9.43
Total magnetic moment, μB/cell: 0.00
Formation energy, meV/atom: -267

10.
This record from the Alexandria database describes KTa2Ag after structural relaxation. The functional is PBE.

Cell lengths 2.832, 2.832, 11.005 Å; angles 90.00, 90.00, 90.00 degrees
Element x y z (fractional)
K1 0.000 0.000 0.000
Ta1 0.500 0.500 0.301
Ta2 0.500 0.500 0.699
Ag1 0.000 0.000 0.500

Mass density, Mg/m³: 9.57
Offset from the most stable computed form, meV per atom: 429
Total magnetic moment, μB/cell: 0.00
Formation energy, meV/atom: 961

11.
This record from the Alexandria database describes Ac2Ga5Co2 after structural relaxation. The functional is PBE.

Cell lengths 4.583, 4.583, 9.709 Å; angles 90.00, 90.00, 90.00 degrees
Element x y z (fractional)
Ac1 0.000 0.000 0.000
Ac2 0.000 0.000 0.500
Ga1 0.000 0.500 0.242
Ga2 0.000 0.500 0.758
Ga3 0.500 0.000 0.242
Ga4 0.500 0.000 0.758
Ga5 0.500 0.500 0.500
Co1 0.500 0.500 0.268
Co2 0.500 0.500 0.732

Mass density, Mg/m³: 7.50
Total magnetic moment, μB/cell: 0.00
Formation energy, meV/atom: -351

12.
This record from the Alexandria database describes SrNiBr2 after structural relaxation. The functional is PBE.

Cell lengths 4.184, 4.184, 23.295 Å; angles 90.00, 90.00, 120.00 degrees
Element x y z (fractional)
Sr1 0.000 0.000 0.000
Sr2 0.333 0.667 0.667
Sr3 0.667 0.333 0.333
Ni1 0.000 0.000 0.247
Ni2 0.333 0.667 0.913
Ni3 0.667 0.333 0.580
Br1 0.000 0.000 0.571
Br2 0.000 0.000 0.745
Br3 0.333 0.667 0.238
Br4 0.333 0.667 0.412
Br5 0.667 0.333 0.079
Br6 0.667 0.333 0.904

Formation energy (no corrections), meV per atom: -932.5
Mass density, Mg/m³: 4.32
Offset from the most stable computed form, meV per atom: 64
Total magnetic moment, μB/cell: 0.00

13.
This record from the Alexandria database describes LaPr3Au2 after structural relaxation. The functional is PBE.

Cell lengths 9.087, 9.087, 9.941 Å; angles 117.20, 117.20, 30.51 degrees
Element x y z (fractional)
La1 0.112 0.112 0.030
La2 0.888 0.888 0.970
Pr1 0.055 0.055 0.390
Pr2 0.297 0.297 0.639
Pr3 0.365 0.365 0.277
Pr4 0.635 0.635 0.723
Pr5 0.703 0.703 0.361
Pr6 0.945 0.945 0.610
Au1 0.251 0.251 0.908
Au2 0.491 0.491 0.842
Au3 0.509 0.509 0.158
Au4 0.749 0.749 0.092

Mass density, Mg/m³: 8.65
Offset from the most stable computed form, meV per atom: 67
Total magnetic moment, μB/cell: 0.00
Formation energy, meV/atom: -475

14.
This record from the Alexandria database describes DyNpZn17 after structural relaxation. The functional is PBE.

Cell lengths 6.793, 6.793, 6.793 Å; angles 82.65, 82.65, 82.65 degrees
Element x y z (fractional)
Dy1 0.000 0.000 0.000
Np1 0.671 0.671 0.671
Zn1 0.039 0.335 0.632
Zn2 0.039 0.632 0.335
Zn3 0.175 0.688 0.688
Zn4 0.235 0.235 0.235
Zn5 0.335 0.039 0.632
Zn6 0.335 0.632 0.039
Zn7 0.336 0.336 0.835
Zn8 0.336 0.835 0.336
Zn9 0.436 0.436 0.436
Zn10 0.498 0.981 0.981
Zn11 0.632 0.039 0.335
Zn12 0.632 0.335 0.039
Zn13 0.688 0.175 0.688
Zn14 0.688 0.688 0.175
Zn15 0.835 0.336 0.336
Zn16 0.981 0.498 0.981
Zn17 0.981 0.981 0.498

Mass density, Mg/m³: 8.19
Total magnetic moment, μB/cell: 4.18
Formation energy, meV/atom: -143

15.
This record from the Alexandria database describes ScAg3I after structural relaxation. The functional is PBE.

Cell lengths 5.378, 5.378, 5.378 Å; angles 90.00, 90.00, 90.00 degrees
Element x y z (fractional)
Sc1 0.000 0.000 0.000
Ag1 0.000 0.500 0.500
Ag2 0.500 0.000 0.500
Ag3 0.500 0.500 0.000
I1 0.500 0.500 0.500

Formation energy (no corrections), meV per atom: 946.0
Mass density, Mg/m³: 5.29
Offset from the most stable computed form, meV per atom: 166
Total magnetic moment, μB/cell: 0.41

16.
This record from the Alexandria database describes Tm6HgPd12 after structural relaxation. The functional is PBE.

Cell lengths 7.232, 7.232, 7.232 Å; angles 96.07, 96.07, 96.07 degrees
Element x y z (fractional)
Tm1 0.186 0.747 0.339
Tm2 0.253 0.661 0.814
Tm3 0.339 0.186 0.747
Tm4 0.661 0.814 0.253
Tm5 0.747 0.339 0.186
Tm6 0.814 0.253 0.661
Hg1 0.500 0.500 0.500
Pd1 0.006 0.955 0.714
Pd2 0.045 0.286 0.994
Pd3 0.127 0.382 0.454
Pd4 0.286 0.994 0.045
Pd5 0.382 0.454 0.127
Pd6 0.454 0.127 0.382
Pd7 0.546 0.873 0.618
Pd8 0.618 0.546 0.873
Pd9 0.714 0.006 0.955
Pd10 0.873 0.618 0.546
Pd11 0.955 0.714 0.006
Pd12 0.994 0.045 0.286

Mass density, Mg/m³: 11.14
Total magnetic moment, μB/cell: 0.00
Formation energy, meV/atom: -734

17.
This record from the Alexandria database describes NpH8Ru2Pt after structural relaxation. The functional is PBE.

Cell lengths 4.641, 4.641, 6.151 Å; angles 90.00, 90.00, 120.00 degrees
Element x y z (fractional)
Np1 0.000 0.000 0.000
H1 0.170 0.341 0.327
H2 0.170 0.830 0.327
H3 0.333 0.667 0.847
H4 0.341 0.170 0.673
H5 0.659 0.830 0.327
H6 0.667 0.333 0.153
H7 0.830 0.170 0.673
H8 0.830 0.659 0.673
Ru1 0.333 0.667 0.112
Ru2 0.667 0.333 0.888
Pt1 0.000 0.000 0.500

DFT total energy, eV/cell: -63.765
Mass density, Mg/m³: 9.30
Total magnetic moment, μB/cell: 2.15

18.
This record from the Alexandria database describes PuSc2Ni after structural relaxation. The functional is PBE.

Cell lengths 3.397, 3.397, 26.673 Å; angles 90.00, 90.00, 120.00 degrees
Element x y z (fractional)
Pu1 0.000 0.000 0.000
Pu2 0.333 0.667 0.667
Pu3 0.667 0.333 0.333
Sc1 0.000 0.000 0.561
Sc2 0.000 0.000 0.769
Sc3 0.333 0.667 0.228
Sc4 0.333 0.667 0.436
Sc5 0.667 0.333 0.103
Sc6 0.667 0.333 0.894
Ni1 0.000 0.000 0.165
Ni2 0.333 0.667 0.831
Ni3 0.667 0.333 0.498

Mass density, Mg/m³: 7.34
Offset from the most stable computed form, meV per atom: 166
Total magnetic moment, μB/cell: 19.30
Formation energy, meV/atom: -12

19.
This record from the Alexandria database describes Rb3HfBi2Te6 after structural relaxation. The functional is PBE.

Cell lengths 7.982, 7.982, 8.786 Å; angles 98.71, 98.71, 120.16 degrees
Element x y z (fractional)
Rb1 0.000 0.000 0.000
Rb2 0.325 0.675 0.000
Rb3 0.675 0.325 0.000
Hf1 0.500 0.500 0.500
Bi1 0.165 0.835 0.500
Bi2 0.835 0.165 0.500
Te1 0.128 0.436 0.308
Te2 0.258 0.258 0.695
Te3 0.436 0.128 0.308
Te4 0.564 0.872 0.692
Te5 0.742 0.742 0.305
Te6 0.872 0.564 0.692

Formation energy (no corrections), meV per atom: -682.9
Mass density, Mg/m³: 5.83
Total magnetic moment, μB/cell: 0.38

20.
This record from the Alexandria database describes Ca2MnCo after structural relaxation. The functional is PBE.

Cell lengths 6.896, 6.896, 6.896 Å; angles 90.00, 90.00, 90.00 degrees
Element x y z (fractional)
Ca1 0.000 0.000 0.000
Ca2 0.000 0.500 0.500
Ca3 0.250 0.250 0.250
Ca4 0.250 0.750 0.750
Ca5 0.500 0.000 0.500
Ca6 0.500 0.500 0.000
Ca7 0.750 0.250 0.750
Ca8 0.750 0.750 0.250
Mn1 0.000 0.000 0.500
Mn2 0.000 0.500 0.000
Mn3 0.500 0.000 0.000
Mn4 0.500 0.500 0.500
Co1 0.250 0.250 0.750
Co2 0.250 0.750 0.250
Co3 0.750 0.250 0.250
Co4 0.750 0.750 0.750

Mass density, Mg/m³: 3.93
Offset from the most stable computed form, meV per atom: 296
Total magnetic moment, μB/cell: 16.87
Formation energy, meV/atom: 552

21.
This record from the Alexandria database describes LaPbI6 after structural relaxation. The functional is PBE.

Cell lengths 7.812, 7.828, 8.368 Å; angles 62.30, 62.25, 60.08 degrees
Element x y z (fractional)
La1 0.000 0.000 0.000
Pb1 0.500 0.500 0.500
I1 0.070 0.749 0.753
I2 0.250 0.572 0.246
I3 0.428 0.070 0.752
I4 0.572 0.930 0.248
I5 0.750 0.428 0.754
I6 0.930 0.251 0.247

Formation energy (no corrections), meV per atom: -864.2
Mass density, Mg/m³: 4.92
Total magnetic moment, μB/cell: 0.00

22.
This record from the Alexandria database describes Pr2BPd5 after structural relaxation. The functional is PBE.

Cell lengths 5.827, 5.827, 9.264 Å; angles 90.00, 90.00, 90.00 degrees
Element x y z (fractional)
Pr1 0.000 0.500 0.000
Pr2 0.000 0.500 0.500
Pr3 0.500 0.000 0.000
Pr4 0.500 0.000 0.500
B1 0.000 0.000 0.192
B2 0.500 0.500 0.692
Pd1 0.000 0.000 0.959
Pd2 0.248 0.248 0.748
Pd3 0.248 0.752 0.748
Pd4 0.252 0.252 0.248
Pd5 0.252 0.748 0.248
Pd6 0.500 0.500 0.459
Pd7 0.748 0.252 0.248
Pd8 0.748 0.748 0.248
Pd9 0.752 0.248 0.748
Pd10 0.752 0.752 0.748

Mass density, Mg/m³: 8.71
Total magnetic moment, μB/cell: 0.00
Formation energy, meV/atom: -626

23.
This record from the Alexandria database describes YWSe after structural relaxation. The functional is PBE.

Cell lengths 4.396, 4.396, 3.749 Å; angles 90.00, 90.00, 120.00 degrees
Element x y z (fractional)
Y1 0.000 0.000 0.000
W1 0.333 0.667 0.500
Se1 0.667 0.333 0.500

Formation energy (no corrections), meV per atom: 25.8
Mass density, Mg/m³: 9.31
Offset from the most stable computed form, meV per atom: 94
Total magnetic moment, μB/cell: 0.00

24.
This record from the Alexandria database describes La2InCu after structural relaxation. The functional is PBE.

Cell lengths 7.431, 7.431, 7.431 Å; angles 90.00, 90.00, 90.00 degrees
Element x y z (fractional)
La1 0.000 0.000 0.000
La2 0.000 0.500 0.500
La3 0.250 0.250 0.250
La4 0.250 0.750 0.750
La5 0.500 0.000 0.500
La6 0.500 0.500 0.000
La7 0.750 0.250 0.750
La8 0.750 0.750 0.250
In1 0.250 0.250 0.750
In2 0.250 0.750 0.250
In3 0.750 0.250 0.250
In4 0.750 0.750 0.750
Cu1 0.000 0.000 0.500
Cu2 0.000 0.500 0.000
Cu3 0.500 0.000 0.000
Cu4 0.500 0.500 0.500

Mass density, Mg/m³: 7.39
Total magnetic moment, μB/cell: 1.75
Formation energy, meV/atom: 32

25.
This record from the Alexandria database describes HgPSe3 after structural relaxation. The functional is PBE.

Cell lengths 4.894, 4.894, 4.894 Å; angles 90.00, 90.00, 90.00 degrees
Element x y z (fractional)
Hg1 0.000 0.000 0.000
P1 0.500 0.500 0.500
Se1 0.000 0.500 0.500
Se2 0.500 0.000 0.500
Se3 0.500 0.500 0.000

Formation energy (no corrections), meV per atom: 395.3
Mass density, Mg/m³: 6.63
Total magnetic moment, μB/cell: 0.00